1.
# ThHgH (GGA-PBE, optimized geometry)
data_ThHgH
_space_group_name_H-M_alt 'F d d 2'
_space_group_IT_number 43
_space_group_name_Hall 'F 2 -2d'
_cell_length_a 8.843
_cell_length_b 15.055
_cell_length_c 7.351
_cell_angle_alpha 90.00
_cell_angle_beta 90.00
_cell_angle_gamma 90.00
loop_
_atom_site_label
_atom_site_type_symbol
_atom_site_fract_x
_atom_site_fract_y
_atom_site_fract_z
Th1 Th 0.058 0.205 0.000
Hg1 Hg 0.033 0.406 0.866
H1 H 0.110 0.305 0.250
# DOS(E_F) in states/eV/atom: 0.464
# VASP energy in eV per atom: -3.873
# Crystal system: orthorhombic
# Energy relative to the lowest polymorph listed for this composition in eV/f.u.: 0.61
# Size of the total moment in μB per atom: 0.000

---

2.
# PrP2Ir3 (GGA-PBE, optimized geometry)
data_PrP2Ir3
_space_group_name_H-M_alt 'C 1 2/m 1'
_space_group_IT_number 12
_cell_length_a 16.057
_cell_length_b 3.953
_cell_length_c 9.832
_cell_angle_alpha 90.00
_cell_angle_beta 107.63
_cell_angle_gamma 90.00
loop_
_space_group_symop_operation_xyz
'x,y,z'
'-x,-y,-z'
'-x,y,-z'
'x,-y,z'
'x+1/2,y+1/2,z'
'-x+1/2,-y+1/2,-z'
'-x+1/2,y+1/2,-z'
'x+1/2,-y+1/2,z'
loop_
_atom_site_label
_atom_site_type_symbol
_atom_site_fract_x
_atom_site_fract_y
_atom_site_fract_z
Pr1 Pr 0.000 0.000 0.000
Pr2 Pr 0.152 0.000 0.691
P1 P 0.037 0.500 0.777
P2 P 0.136 0.500 0.450
P3 P 0.202 0.000 0.134
Ir1 Ir 0.000 0.500 0.500
Ir2 Ir 0.045 0.000 0.326
Ir3 Ir 0.134 0.500 0.212
Ir4 Ir 0.174 0.500 0.949
Ir5 Ir 0.226 0.000 0.396
# DOS(E_F) in states/eV/atom: 0.297
# VASP energy in eV per atom: -7.853
# Crystal system: monoclinic
# Calculated formation energy in kJ per mole of atoms: -79.4
# Size of the total moment in μB per atom: 0.000

---

3.
# TaBe2Re (GGA-PBE, optimized geometry)
data_TaBe2Re
_space_group_name_H-M_alt 'C m m 2'
_space_group_IT_number 35
_cell_length_a 3.450
_cell_length_b 4.256
_cell_length_c 6.827
_cell_angle_alpha 90.00
_cell_angle_beta 90.00
_cell_angle_gamma 90.00
loop_
_space_group_symop_operation_xyz
'x,y,z'
'-x,-y,z'
'-x,y,z'
'x,-y,z'
'x+1/2,y+1/2,z'
'-x+1/2,-y+1/2,z'
'-x+1/2,y+1/2,z'
'x+1/2,-y+1/2,z'
loop_
_atom_site_label
_atom_site_type_symbol
_atom_site_fract_x
_atom_site_fract_y
_atom_site_fract_z
Ta1 Ta 0.000 0.000 0.000
Be1 Be 0.000 0.000 0.429
Be2 Be 0.000 0.500 0.264
Re1 Re 0.000 0.500 0.666
# DOS(E_F) in states/eV/atom: 0.183
# VASP energy in eV per atom: -7.881
# Crystal system: orthorhombic
# Energy relative to the lowest polymorph listed for this composition in eV/f.u.: 1.76
# Calculated formation energy in kJ per mole of atoms: 5.5
# Size of the total moment in μB per atom: 0.000

---

4.
# Tm4Mn3Al16 (GGA-PBE, optimized geometry)
data_Tm4Mn3Al16
_space_group_name_H-M_alt 'P 4/m m m'
_space_group_IT_number 123
_space_group_name_Hall '-P 4 2'
_cell_length_a 6.057
_cell_length_b 6.057
_cell_length_c 11.239
_cell_angle_alpha 90.00
_cell_angle_beta 90.00
_cell_angle_gamma 90.00
loop_
_atom_site_label
_atom_site_type_symbol
_atom_site_fract_x
_atom_site_fract_y
_atom_site_fract_z
Tm1 Tm 0.000 0.500 0.188
Mn1 Mn 0.000 0.000 0.000
Mn2 Mn 0.000 0.500 0.500
Al1 Al 0.000 0.000 0.214
Al2 Al 0.251 0.251 0.380
Al3 Al 0.279 0.279 0.000
Al4 Al 0.500 0.500 0.193
# DOS(E_F) in states/eV/atom: 0.576
# VASP energy in eV per atom: -4.903
# Crystal system: tetragonal
# Calculated formation energy in kJ per mole of atoms: -31.5
# Size of the total moment in μB per atom: 0.228

---

5.
# KTl4Au2 (GGA-PBE, optimized geometry)
data_KTl4Au2
_space_group_name_H-M_alt 'P n m a'
_space_group_IT_number 62
_cell_length_a 20.271
_cell_length_b 4.990
_cell_length_c 7.780
_cell_angle_alpha 90.00
_cell_angle_beta 90.00
_cell_angle_gamma 90.00
loop_
_space_group_symop_operation_xyz
'x,y,z'
'-x,-y,-z'
'-x+1/2,-y,z+1/2'
'x+1/2,y,-z+1/2'
'x+1/2,-y+1/2,-z+1/2'
'-x+1/2,y+1/2,z+1/2'
'-x,y+1/2,-z'
'x,-y+1/2,z'
loop_
_atom_site_label
_atom_site_type_symbol
_atom_site_fract_x
_atom_site_fract_y
_atom_site_fract_z
K1 K 0.140 0.250 0.026
Tl1 Tl 0.035 0.750 0.845
Tl2 Tl 0.070 0.250 0.501
Tl3 Tl 0.186 0.750 0.316
Tl4 Tl 0.189 0.750 0.732
Au1 Au 0.042 0.750 0.244
Au2 Au 0.217 0.250 0.526
# DOS(E_F) in states/eV/atom: 0.502
# VASP energy in eV per atom: -2.572
# Crystal system: orthorhombic
# Energy relative to the lowest polymorph listed for this composition in eV/f.u.: 0.00
# Calculated formation energy in kJ per mole of atoms: -12.2
# Size of the total moment in μB per atom: 0.000

---

6.
# Cr3BOs (GGA-PBE, optimized geometry)
data_Cr3BOs
_space_group_name_H-M_alt 'P m -3 m'
_space_group_IT_number 221
_space_group_name_Hall '-P 4 2 3'
_cell_length_a 3.867
_cell_length_b 3.867
_cell_length_c 3.867
_cell_angle_alpha 90.00
_cell_angle_beta 90.00
_cell_angle_gamma 90.00
loop_
_atom_site_label
_atom_site_type_symbol
_atom_site_fract_x
_atom_site_fract_y
_atom_site_fract_z
Cr1 Cr 0.000 0.000 0.500
B1 B 0.000 0.000 0.000
Os1 Os 0.500 0.500 0.500
# DOS(E_F) in states/eV/atom: 1.072
# VASP energy in eV per atom: -9.127
# Crystal system: cubic
# Energy relative to the lowest polymorph listed for this composition in eV/f.u.: 0.00
# Calculated formation energy in kJ per mole of atoms: 22.0
# Size of the total moment in μB per atom: 0.000